a.
Below is a relaxed structure of VB2Mo2, with properties calculated at the PBE level.

Properties
Fermi-level density of states = 6.2 states/eV per cell
M_tot = 0.0 μB/f.u.

Cell lengths 5.910, 5.910, 3.133 Å; angles 90.00, 90.00, 90.00 degrees
Fractional coordinates of all 10 atoms:
V1 0.000 0.000 0.000
V2 0.500 0.500 0.000
B1 0.113 0.387 0.000
B2 0.387 0.887 0.000
B3 0.613 0.113 0.000
B4 0.887 0.613 0.000
Mo1 0.178 0.678 0.500
Mo2 0.322 0.178 0.500
Mo3 0.678 0.822 0.500
Mo4 0.822 0.322 0.500

***

b.
Below is a relaxed structure of VB2Mo2, with properties calculated at the PBE level.

Properties
Fermi-level density of states = 2.5 states/eV per cell
M_tot = 0.0 μB/f.u.

Cell lengths 5.922, 5.922, 3.131 Å; angles 90.00, 90.00, 149.78 degrees
Fractional coordinates of all 5 atoms:
V1 0.000 0.000 0.000
B1 0.206 0.794 0.000
B2 0.794 0.206 0.000
Mo1 0.361 0.639 0.500
Mo2 0.639 0.361 0.500

***

Most stable: a. Least stable: b.

***

a.
Below is a relaxed structure of B2MoW, with properties calculated at the PBE level.

Properties
Fermi-level density of states = 2.0 states/eV per cell
M_tot = 0.0 μB/f.u.

Cell lengths 2.718, 4.181, 4.181 Å; angles 74.79, 90.00, 90.00 degrees
Fractional coordinates of all 4 atoms:
B1 0.000 0.167 0.833
B2 0.000 0.833 0.167
Mo1 0.000 0.307 0.307
W1 0.500 0.702 0.702

***

b.
Below is a relaxed structure of B2MoW, with properties calculated at the PBE level.

Properties
Fermi-level density of states = 9.6 states/eV per cell
M_tot = 0.0 μB/f.u.

Cell lengths 5.940, 5.940, 5.940 Å; angles 131.90, 131.90, 70.39 degrees
Fractional coordinates of all 8 atoms:
B1 0.124 0.625 0.999
B2 0.375 0.374 0.499
B3 0.626 0.125 0.001
B4 0.875 0.876 0.501
Mo1 0.000 0.000 0.000
Mo2 0.750 0.250 0.500
W1 0.250 0.750 0.500
W2 0.500 0.500 0.000

***

Most stable: a. Least stable: b.

***

a.
Below is a relaxed structure of B2MoW, with properties calculated at the PBE level.

Properties
Fermi-level density of states = 2.2 states/eV per cell
M_tot = 0.0 μB/f.u.

Cell lengths 3.952, 3.952, 3.952 Å; angles 60.00, 60.00, 60.00 degrees
Fractional coordinates of all 4 atoms:
B1 0.250 0.250 0.250
B2 0.750 0.750 0.750
Mo1 0.000 0.000 0.000
W1 0.500 0.500 0.500

***

b.
Below is a relaxed structure of B2MoW, with properties calculated at the PBE level.

Properties
Fermi-level density of states = 3.1 states/eV per cell
M_tot = 0.0 μB/f.u.

Cell lengths 3.075, 4.563, 6.009 Å; angles 90.00, 90.00, 90.00 degrees
Fractional coordinates of all 8 atoms:
B1 0.000 0.150 0.000
B2 0.000 0.850 0.500
B3 0.500 0.350 0.065
B4 0.500 0.650 0.565
Mo1 0.000 0.362 0.354
Mo2 0.000 0.638 0.854
W1 0.500 0.136 0.713
W2 0.500 0.864 0.213

***

Most stable: b. Least stable: a.